An optimized crystal structure of Pr2BeSi3Ir4. Source: the Alexandria database, functional PBE-GGA.

```
Pr2BeSi3Ir4
1.0
4.164 0.000 0.000
0.000 4.164 0.000
0.000 0.000 9.922
Si Pr Ir Be
3 2 4 1
Direct
0.000 0.500 0.130
0.000 0.000 0.500
0.500 0.000 0.870
0.500 0.000 0.257
0.000 0.500 0.743
0.000 0.000 0.000
0.000 0.500 0.377
0.500 0.000 0.623
0.500 0.500 0.000
0.500 0.500 0.500
```

Space group   No. 115
E_form (uncorrected)   -0.9281 eV/atom

---

An optimized crystal structure of PrBe4SiIr2. Source: the Alexandria database, functional PBE-GGA.

```
PrBe4SiIr2
1.0
3.938 0.000 0.000
1.969 3.410 0.000
1.969 1.137 8.302
Ir Si Be Pr
2 1 4 1
Direct
0.778 0.778 0.665
0.222 0.222 0.335
0.500 0.500 0.500
0.411 0.411 0.767
0.879 0.879 0.364
0.589 0.589 0.233
0.121 0.121 0.636
0.000 0.000 0.000
```

Space group   No. 166
E_form (uncorrected)   -0.3185 eV/atom

---

An optimized crystal structure of Pr2Be4Si3Ir. Source: the Alexandria database, functional PBE-GGA.

```
Pr2Be4Si3Ir
1.0
3.922 0.000 0.000
0.000 3.922 0.000
0.000 0.000 10.040
Be Si Pr Ir
4 3 2 1
Direct
0.000 0.000 0.000
0.500 0.500 0.000
0.500 0.000 0.628
0.000 0.500 0.372
0.000 0.500 0.128
0.500 0.000 0.872
0.000 0.000 0.500
0.000 0.500 0.756
0.500 0.000 0.244
0.500 0.500 0.500
```

Space group   No. 115
E_form (uncorrected)   -0.4743 eV/atom

---

An optimized crystal structure of Pr2BeSi4Ir3. Source: the Alexandria database, functional PBE-GGA.

```
Pr2BeSi4Ir3
1.0
4.179 0.000 0.000
0.000 4.179 0.000
0.000 0.000 9.964
Be Pr Si Ir
1 2 4 3
Direct
0.500 0.500 0.500
0.500 0.000 0.250
0.000 0.500 0.750
0.000 0.500 0.370
0.500 0.000 0.630
0.500 0.500 0.000
0.000 0.000 0.000
0.000 0.000 0.500
0.000 0.500 0.125
0.500 0.000 0.875
```

Space group   No. 115
E_form (uncorrected)   -0.8265 eV/atom

---

An optimized crystal structure of PrTiBeIr2. Source: the Alexandria database, functional PBE-GGA.

```
PrTiBeIr2
1.0
4.001 0.000 0.000
0.000 4.001 0.000
-2.001 -2.001 5.661
Be Ir Pr Ti
1 2 1 1
Direct
0.750 0.250 0.500
0.381 0.381 0.761
0.619 0.619 0.239
0.000 0.000 0.000
0.250 0.750 0.500
```

E_tot   -7.451 eV per atom
Space group   No. 119

---

An optimized crystal structure of PrBeZn2Ir2. Source: the Alexandria database, functional PBE-GGA.

```
PrBeZn2Ir2
1.0
-3.832 -1.914 0.288
1.175 -2.809 -3.026
1.995 -3.402 3.934
Ir Pr Zn Be
2 1 2 1
Direct
0.000 0.500 0.000
0.500 0.000 0.000
0.000 0.000 0.500
0.500 0.500 0.729
0.500 0.500 0.271
0.000 0.000 0.000
```

E_tot   -5.205 eV per atom
Space group   No. 123

---

Repeat the fifth record exactly.
An optimized crystal structure of PrTiBeIr2. Source: the Alexandria database, functional PBE-GGA.

```
PrTiBeIr2
1.0
4.001 0.000 0.000
0.000 4.001 0.000
-2.001 -2.001 5.661
Be Ir Pr Ti
1 2 1 1
Direct
0.750 0.250 0.500
0.381 0.381 0.761
0.619 0.619 0.239
0.000 0.000 0.000
0.250 0.750 0.500
```

E_tot   -7.451 eV per atom
Space group   No. 119